Record 1
A plane-wave DFT calculation with PBE was carried out for crystalline MnBe2Re2 at its relaxed geometry.

Structure (POSCAR):
```
MnBe2Re2
1.0
-5.764 1.385 0.110
-0.103 -0.895 5.860
0.744 3.056 0.480
Be Re Mn
4 4 2
Direct
0.380 0.880 0.000
0.620 0.120 0.000
0.120 0.380 0.000
0.880 0.620 0.000
0.324 0.176 0.500
0.176 0.676 0.500
0.824 0.324 0.500
0.676 0.824 0.500
0.500 0.500 0.000
0.000 0.000 0.000
```

* ρ: 13225 kg/m3
* raw total energy: -8.514 eV per atom
* energy of formation: -1.05 eV/f.u.


Record 2
A plane-wave DFT calculation with PBE was carried out for crystalline CdAg2PbF6 at its relaxed geometry.

Structure (POSCAR):
```
CdAg2PbF6
1.0
6.086 0.000 -0.056
0.000 6.269 0.000
-0.029 0.000 8.840
F Ag Pb Cd
12 4 2 2
Direct
0.829 0.802 0.923
0.137 0.423 0.762
0.802 0.821 0.575
0.171 0.198 0.077
0.637 0.077 0.262
0.329 0.698 0.423
0.863 0.577 0.238
0.198 0.179 0.425
0.302 0.679 0.075
0.363 0.923 0.738
0.698 0.321 0.925
0.671 0.302 0.577
0.981 0.066 0.751
0.519 0.566 0.749
0.481 0.434 0.251
0.019 0.934 0.249
0.000 0.500 0.500
0.500 0.000 0.000
0.500 0.000 0.500
0.000 0.500 0.000
```

* ρ: 6394 kg/m3
* formation energy from raw total energies: -1748 meV/atom
* raw total energy: -3.904 eV per atom


Record 3
A plane-wave DFT calculation with PBE was carried out for crystalline LiCo2Cu at its relaxed geometry.

Structure (POSCAR):
```
LiCo2Cu
1.0
-2.123 -2.360 -2.576
1.997 -0.300 -1.370
1.125 -3.672 2.436
Co Li Cu
2 1 1
Direct
0.000 0.876 0.053
0.500 0.375 0.196
0.500 0.874 0.707
0.000 0.375 0.544
```

* ρ: 6894 kg/m3
* raw total energy: -4.948 eV per atom
* energy of formation: 0.43 eV/f.u.


Record 4
A plane-wave DFT calculation with PBE was carried out for crystalline Mn5SiB2Mo2 at its relaxed geometry.

Structure (POSCAR):
```
Mn5SiB2Mo2
1.0
2.877 0.000 0.000
0.000 8.616 0.000
0.000 0.000 8.616
Mn Si Mo B
10 2 4 4
Direct
0.500 0.565 0.712
0.500 0.000 0.500
0.500 0.435 0.288
0.500 0.712 0.435
0.500 0.788 0.935
0.500 0.065 0.788
0.500 0.288 0.565
0.500 0.212 0.065
0.500 0.935 0.212
0.500 0.500 0.000
0.000 0.000 0.000
0.000 0.500 0.500
0.000 0.176 0.324
0.000 0.824 0.676
0.000 0.676 0.176
0.000 0.324 0.824
0.000 0.124 0.624
0.000 0.624 0.876
0.000 0.876 0.376
0.000 0.376 0.124
```

* ρ: 8028 kg/m3
* formation energy from raw total energies: -333 meV/atom
* raw total energy: -8.962 eV per atom


Record 5
A plane-wave DFT calculation with PBE was carried out for crystalline Gd2PaP at its relaxed geometry.

Structure (POSCAR):
```
Gd2PaP
1.0
-1.914 -1.503 2.605
1.541 -0.791 3.115
-2.542 8.439 5.440
Pa P Gd
1 1 2
Direct
0.000 0.000 0.000
0.500 0.500 0.500
0.891 0.891 0.328
0.109 0.109 0.672
```

* ρ: 8571 kg/m3
* raw total energy: -10.999 eV per atom
* energy of formation: -0.93 eV/f.u.


Record 6
A plane-wave DFT calculation with PBE was carried out for crystalline HfCdW3 at its relaxed geometry.

Structure (POSCAR):
```
HfCdW3
1.0
4.832 0.000 0.000
0.000 4.832 0.000
0.000 0.000 4.832
W Hf Cd
3 1 1
Direct
0.000 0.500 0.000
0.500 0.000 0.000
0.000 0.000 0.500
0.000 0.000 0.000
0.500 0.500 0.500
```

* ρ: 12402 kg/m3
* raw total energy: -7.592 eV per atom
* energy of formation: 11.77 eV/f.u.
* E above lowest polymorph: 0.0 meV per atom


Record 7
A plane-wave DFT calculation with PBE was carried out for crystalline LaPrNiAu at its relaxed geometry.

Structure (POSCAR):
```
LaPrNiAu
1.0
-0.168 -2.083 3.365
4.245 -1.613 -0.787
2.240 5.358 1.099
Pr Au Ni La
1 1 1 1
Direct
0.140 0.000 0.280
0.579 0.500 0.157
0.418 0.000 0.835
0.864 0.500 0.728
```

* ρ: 8746 kg/m3
* raw total energy: -5.219 eV per atom
* energy of formation: -2.11 eV/f.u.
* E above lowest polymorph: 0.0 meV per atom


Record 8
A plane-wave DFT calculation with PBE was carried out for crystalline PbNO at its relaxed geometry.

Structure (POSCAR):
```
PbNO
1.0
-2.192 2.802 0.186
-3.256 -2.918 5.603
6.888 4.921 7.018
O N Pb
4 4 4
Direct
0.750 0.379 0.422
0.250 0.621 0.578
0.250 0.121 0.578
0.750 0.879 0.422
0.469 0.046 0.959
0.031 0.546 0.959
0.969 0.454 0.041
0.531 0.954 0.041
0.248 0.132 0.374
0.752 0.868 0.626
0.748 0.368 0.626
0.252 0.632 0.374
```

* ρ: 5663 kg/m3
* formation energy from raw total energies: -708 meV/atom
* raw total energy: -6.372 eV per atom